Density functional theory data (PBE) for a geometry-optimized LiCu3Ni structure.

a b c (Å): 4.120 4.123 7.188
angles (deg): 73.49 89.94 89.81
Space group P-1 (No. 2)
Symmetry-distinct sites (fractional):
1 Li 0.250 0.152 0.197 [2 per cell]
2 Cu 0.250 0.549 0.402 [2 per cell]
3 Cu 0.250 0.750 0.000 [2 per cell]
4 Cu 0.250 0.946 0.607 [2 per cell]
5 Ni 0.250 0.352 0.796 [2 per cell]

Calculated values
Energy above the most stable polymorph in this dataset (kJ/mol of formula units): 0.0
DFT formation energy (eV per formula unit): -0.05